(1)
Compound: Er2Te4O11
Source: the Alexandria database
Functional: SCAN
Structure: single point on PBEsol structure

Computed properties:
- Energy: -20.757 eV per atom
- Energy relative to the elements, uncorrected: -2038 meV per atom

Lattice parameters (Å, degrees): 12.2035 5.0584 15.8734 90.00 106.41 90.00
Space group C2/c (No. 15)
One atom of each set of equivalent atoms:
Er  0.1192  0.2481  0.0365 x8
Te  0.1231  0.2155  0.3716 x8
Te  0.1259  0.2212  0.7012 x8
O  0.0000  0.3642  0.7500 x4
O  0.0234  0.0764  0.5954 x8
O  0.0670  0.3945  0.4550 x8
O  0.1527  0.4356  0.1692 x8
O  0.2084  0.0468  0.9475 x8
O  0.2480  0.0618  0.6295 x8

---

(2)
Compound: Er2TeO2
Source: the Alexandria database
Functional: SCAN
Structure: single point on PBEsol structure

Computed properties:
- Energy: -33.350 eV per atom
- Energy relative to the elements, uncorrected: -3271 meV per atom

Lattice parameters (Å, degrees): 3.8469 3.8469 12.1742 90.00 90.00 90.00
Space group I4/mmm (No. 139)
One atom of each set of equivalent atoms:
Er  0.0000  0.0000  0.1625 x4
Te  0.0000  0.0000  0.5000 x2
O  0.0000  0.5000  0.2500 x4

---

What did the second record say?
Compound: Er2TeO2
Source: the Alexandria database
Functional: SCAN
Structure: single point on PBEsol structure

Computed properties:
- Energy: -33.350 eV per atom
- Energy relative to the elements, uncorrected: -3271 meV per atom

Lattice parameters (Å, degrees): 3.8469 3.8469 12.1742 90.00 90.00 90.00
Space group I4/mmm (No. 139)
One atom of each set of equivalent atoms:
Er  0.0000  0.0000  0.1625 x4
Te  0.0000  0.0000  0.5000 x2
O  0.0000  0.5000  0.2500 x4